A plane-wave DFT calculation with GGA-PBE was carried out for Zn2TeCl after structural relaxation.

Unit cell a=3.1321 b=3.1321 c=9.5070 alpha=90.00 beta=90.00 gamma=90.00
Fractional coordinates of all 4 atoms:
Zn: 0.0000 0.0000 0.0000
Zn: 0.5000 0.5000 0.1879
Te: 0.5000 0.5000 0.7400
Cl: 0.0000 0.0000 0.3433

Output
Formation energy (no corrections) = -97 meV/atom
Space-group type = P4mm
Total magnetic moment = 0.00 μB/f.u.
Energy above the most stable polymorph in this dataset = 0.254 eV/atom
Calculated volume = 93 Å³ per cell